First-principles (GGA-PBE) data for a relaxed KSbNF2 crystal, as listed in Alexandria.

```
data_KSbNF2
_chemical_formula_sum 'K1 Sb1 N1 F2'
_cell_length_a 4.6472
_cell_length_b 4.6472
_cell_length_c 4.0295
_cell_angle_alpha 90.00
_cell_angle_beta 90.00
_cell_angle_gamma 90.00
_space_group_name_H-M_alt 'P 4/m m m'
_space_group_IT_number 123
_space_group_name_Hall '-P 4 2'
loop_
_atom_site_label
_atom_site_type_symbol
_atom_site_fract_x
_atom_site_fract_y
_atom_site_fract_z
_atom_site_occupancy
K1 K 0.0000 0.0000 0.0000 1
Sb1 Sb 0.5000 0.5000 0.5000 1
N1 N 0.5000 0.5000 0.0000 1
F1 F 0.0000 0.5000 0.5000 1
```

Properties
**Total moment**: 0.000 Bohr magnetons per cell
**ΔE to the lowest computed polymorph**: 0.00 eV/f.u.
**V**: 17.4 Å³ per atom
**E_form (uncorrected)**: -1.26 eV per atom


First-principles (GGA-PBE) data for a relaxed Pm4SmSc5 crystal, as listed in Alexandria.

```
data_Pm4SmSc5
_chemical_formula_sum 'Pm4 Sm1 Sc5'
_cell_length_a 3.5622
_cell_length_b 3.5622
_cell_length_c 22.8576
_cell_angle_alpha 90.00
_cell_angle_beta 90.00
_cell_angle_gamma 90.00
_space_group_name_H-M_alt 'P 4/m m m'
_space_group_IT_number 123
_space_group_name_Hall '-P 4 2'
loop_
_atom_site_label
_atom_site_type_symbol
_atom_site_fract_x
_atom_site_fract_y
_atom_site_fract_z
_atom_site_occupancy
Pm1 Pm 0.0000 0.0000 0.1002 1
Pm2 Pm 0.0000 0.0000 0.3004 1
Sm1 Sm 0.0000 0.0000 0.5000 1
Sc1 Sc 0.5000 0.5000 0.0000 1
Sc2 Sc 0.5000 0.5000 0.2004 1
Sc3 Sc 0.5000 0.5000 0.4006 1
```

Properties
**Total moment**: 0.000 Bohr magnetons per cell
**Formation enthalpy at 0 K**: 0.5 eV/f.u.
**V**: 29.0 Å³ per atom


First-principles (GGA-PBE) data for a relaxed Na2ErZnGe2 crystal, as listed in Alexandria.

```
data_Na2ErZnGe2
_chemical_formula_sum 'Na4 Er2 Zn2 Ge4'
_cell_length_a 4.4056
_cell_length_b 8.4805
_cell_length_c 7.1506
_cell_angle_alpha 90.00
_cell_angle_beta 90.00
_cell_angle_gamma 90.00
_space_group_name_H-M_alt 'P m c 21'
_space_group_IT_number 26
_space_group_name_Hall 'P 2c -2'
loop_
_atom_site_label
_atom_site_type_symbol
_atom_site_fract_x
_atom_site_fract_y
_atom_site_fract_z
_atom_site_occupancy
Na1 Na 0.0000 0.0873 0.0000 1
Na2 Na 0.5000 0.1521 0.3180 1
Er1 Er 0.5000 0.4649 0.9859 1
Zn1 Zn 0.0000 0.3128 0.6281 1
Ge1 Ge 0.0000 0.3918 0.2627 1
Ge2 Ge 0.5000 0.1934 0.7288 1
```

Properties
**Total moment**: 0.000 Bohr magnetons per cell
**Formation enthalpy at 0 K**: -2.1 eV/f.u.
**V**: 22.3 Å³ per atom


First-principles (GGA-PBE) data for a relaxed Tb3PrSm4 crystal, as listed in Alexandria.

```
data_Tb3PrSm4
_chemical_formula_sum 'Tb6 Pr2 Sm8'
_cell_length_a 11.6093
_cell_length_b 7.3391
_cell_length_c 6.3437
_cell_angle_alpha 90.00
_cell_angle_beta 90.00
_cell_angle_gamma 90.00
_space_group_name_H-M_alt 'P m n 21'
_space_group_IT_number 31
_space_group_name_Hall 'P 2ac -2'
loop_
_atom_site_label
_atom_site_type_symbol
_atom_site_fract_x
_atom_site_fract_y
_atom_site_fract_z
_atom_site_occupancy
Tb1 Tb 0.0000 0.1248 0.0000 1
Tb2 Tb 0.2503 0.1243 0.3326 1
Pr1 Pr 0.0000 0.8756 0.4993 1
Sm1 Sm 0.0000 0.3739 0.4990 1
Sm2 Sm 0.0000 0.6261 0.0017 1
Sm3 Sm 0.2480 0.3750 0.8331 1
```

Properties
**Total moment**: 0.002 Bohr magnetons per cell
**ΔE to the lowest computed polymorph**: 0.10 eV/f.u.
**Formation enthalpy at 0 K**: 0.2 eV/f.u.
**V**: 33.8 Å³ per atom


First-principles (GGA-PBE) data for a relaxed Ba2PuC2N6 crystal, as listed in Alexandria.

```
data_Ba2PuC2N6
_chemical_formula_sum 'Ba2 Pu1 C2 N6'
_cell_length_a 5.6182
_cell_length_b 5.6182
_cell_length_c 6.1030
_cell_angle_alpha 90.00
_cell_angle_beta 90.00
_cell_angle_gamma 120.00
_space_group_name_H-M_alt 'P -3 m 1'
_space_group_IT_number 164
_space_group_name_Hall '-P 3 2"'
loop_
_atom_site_label
_atom_site_type_symbol
_atom_site_fract_x
_atom_site_fract_y
_atom_site_fract_z
_atom_site_occupancy
Ba1 Ba 0.3333 0.6667 0.3141 1
Pu1 Pu 0.0000 0.0000 0.0000 1
C1 C 0.3333 0.6667 0.8086 1
N1 N 0.1929 0.3857 0.8023 1
```

Properties
**Total moment**: 2.186 Bohr magnetons per cell
**V**: 15.2 Å³ per atom
**E_form (uncorrected)**: -0.53 eV per atom


First-principles (GGA-PBE) data for a relaxed Pm6Dy16Er7 crystal, as listed in Alexandria.

```
data_Pm6Dy16Er7
_chemical_formula_sum 'Pm24 Dy64 Er28'
_cell_length_a 15.7321
_cell_length_b 15.7321
_cell_length_c 15.7321
_cell_angle_alpha 90.00
_cell_angle_beta 90.00
_cell_angle_gamma 90.00
_space_group_name_H-M_alt 'F m -3 m'
_space_group_IT_number 225
_space_group_name_Hall '-F 4 2 3'
loop_
_atom_site_label
_atom_site_type_symbol
_atom_site_fract_x
_atom_site_fract_y
_atom_site_fract_z
_atom_site_occupancy
Pm1 Pm 0.0000 0.0000 0.2173 1
Dy1 Dy 0.1228 0.1228 0.3772 1
Dy2 Dy 0.1533 0.1533 0.1533 1
Er1 Er 0.0000 0.0000 0.5000 1
Er2 Er 0.0000 0.2500 0.2500 1
```

Properties
**Total moment**: 21.784 Bohr magnetons per cell
**Formation enthalpy at 0 K**: 6.8 eV/f.u.
**V**: 33.6 Å³ per atom


First-principles (GGA-PBE) data for a relaxed Na5Cd4As4 crystal, as listed in Alexandria.

```
data_Na5Cd4As4
_chemical_formula_sum 'Na10 Cd8 As8'
_cell_length_a 12.0523
_cell_length_b 12.0523
_cell_length_c 4.3595
_cell_angle_alpha 90.00
_cell_angle_beta 90.00
_cell_angle_gamma 90.00
_space_group_name_H-M_alt 'I 4/m'
_space_group_IT_number 87
_space_group_name_Hall '-I 4'
loop_
_atom_site_label
_atom_site_type_symbol
_atom_site_fract_x
_atom_site_fract_y
_atom_site_fract_z
_atom_site_occupancy
Na1 Na 0.0000 0.0000 0.0000 1
Na2 Na 0.1318 0.2031 0.5000 1
Cd1 Cd 0.0918 0.6120 0.5000 1
As1 As 0.0549 0.7473 0.0000 1
```

Properties
**Total moment**: 0.000 Bohr magnetons per cell
**Formation enthalpy at 0 K**: -4.2 eV/f.u.
**V**: 24.4 Å³ per atom


First-principles (GGA-PBE) data for a relaxed Ce2Er5Bi4 crystal, as listed in Alexandria.

```
data_Ce2Er5Bi4
_chemical_formula_sum 'Ce4 Er10 Bi8'
_cell_length_a 33.9124
_cell_length_b 3.3875
_cell_length_c 6.2577
_cell_angle_alpha 90.00
_cell_angle_beta 90.33
_cell_angle_gamma 90.00
_space_group_name_H-M_alt 'C 1 2/m 1'
_space_group_IT_number 12
_space_group_name_Hall '-C 2y'
loop_
_atom_site_label
_atom_site_type_symbol
_atom_site_fract_x
_atom_site_fract_y
_atom_site_fract_z
_atom_site_occupancy
Ce1 Ce 0.2136 0.0000 0.3539 1
Er1 Er 0.0000 0.5000 0.5000 1
Er2 Er 0.1206 0.0000 0.5892 1
Er3 Er 0.1235 0.0000 0.0906 1
Bi1 Bi 0.0432 0.0000 0.8692 1
Bi2 Bi 0.1939 0.5000 0.8394 1
```

Properties
**Total moment**: 5.390 Bohr magnetons per cell
**Formation enthalpy at 0 K**: -0.4 eV/f.u.
**V**: 32.7 Å³ per atom


Which value of total moment does entry 7 give? 0.000 Bohr magnetons per cell


Which value of total moment does entry 4 give? 0.002 Bohr magnetons per cell


V of number 7 (Na5Cd4As4)? 24.4 Å³ per atom


Which formula does entry 4 have? Tb3PrSm4